Ba2CdGeSb | GGA-PBEsol | relaxed

Uncorrected formation energy, eV/f.u.: -0.2
Crystal system: tetragonal

```
Ba2CdGeSb
1.0
6.5000 0.0000 0.0000
0.0000 6.5000 0.0000
0.0000 0.0000 5.2628
Ba Cd Ge Sb
2 1 1 1
direct
0.0000 0.5000 0.0000
0.5000 0.0000 0.0000
0.0000 0.0000 0.5000
0.5000 0.5000 0.5000
0.5000 0.5000 0.0000
```